a) Below is a relaxed structure of K3RbPt, with properties calculated at the PBE level.

Crystal system = monoclinic
Space-group type = P2_1/m (11)
M_tot = 0.0 μB per formula unit

abc: 10.5602 4.8400 12.0258
angles: 90.00 110.28 90.00
Last column: nearest neighbours and their distance in Å.
Sites, in units of the cell vectors:
K1 0.0135 0.2500 0.2443  1 Pt 3.13
K2 0.2732 0.7500 0.1645  1 Pt 3.11
K3 0.3054 0.2500 0.9110  1 Pt 3.33
K4 0.6946 0.7500 0.0890  1 Pt 3.33
K5 0.7268 0.2500 0.8355  1 Pt 3.11
K6 0.9865 0.7500 0.7557  1 Pt 3.13
Rb1 0.3329 0.7500 0.5756  8 K 4.76-4.89, 4 Rb 4.84-5.11
Rb2 0.6671 0.2500 0.4244  8 K 4.76-4.89, 4 Rb 4.84-5.11
Pt1 0.0322 0.2500 0.9898  2 Pt 2.55
Pt2 0.9678 0.7500 0.0102  2 Pt 2.55

***

b) Below is a relaxed structure of K3RbPt, with properties calculated at the PBE level.

Crystal system = cubic
Space-group type = Pm-3m (221)
M_tot = 0.0 μB per formula unit

abc: 6.8551 6.8551 6.8551
angles: 90.00 90.00 90.00
Last column: nearest neighbours and their distance in Å.
Sites, in units of the cell vectors:
K1 0.0000 0.0000 0.5000  2 Rb 3.43
K2 0.0000 0.5000 0.0000  2 Rb 3.43
K3 0.5000 0.0000 0.0000  2 Rb 3.43
Rb1 0.0000 0.0000 0.0000  6 K 3.43
Pt1 0.5000 0.5000 0.5000  12 K 4.85

***

Stability comparison, relative energies in meV per atom: a) 0; b) 937

***

a) Below is a relaxed structure of KRbPt2, with properties calculated at the PBE level.

Crystal system = tetragonal
Space-group type = I-42d (122)
M_tot = 0.4 μB per formula unit

abc: 6.9682 6.9682 6.9682
angles: 98.93 98.93 133.60
Last column: nearest neighbours and their distance in Å.
Sites, in units of the cell vectors:
K1 0.0000 0.0000 0.0000  2 Rb 2.74
K2 0.7500 0.2500 0.5000  2 Rb 2.74
Rb1 0.2500 0.7500 0.5000  2 K 2.74
Rb2 0.5000 0.5000 0.0000  2 K 2.74
Pt1 0.1194 0.6250 0.9944  2 Pt 2.75
Pt2 0.3750 0.3694 0.4944  2 Pt 2.75
Pt3 0.6306 0.1250 0.0056  2 Pt 2.75
Pt4 0.8750 0.8806 0.5056  2 Pt 2.75

***

b) Below is a relaxed structure of KRbPt2, with properties calculated at the PBE level.

Crystal system = cubic
Space-group type = Fm-3m (225)
M_tot = 0.0 μB per formula unit

abc: 5.3622 5.3622 5.3622
angles: 60.00 60.00 60.00
Last column: nearest neighbours and their distance in Å.
Sites, in units of the cell vectors:
K1 0.0000 0.0000 0.0000  8 Pt 3.28
Rb1 0.5000 0.5000 0.5000  8 Pt 3.28
Pt1 0.2500 0.2500 0.2500  4 K 3.28, 4 Rb 3.28
Pt2 0.7500 0.7500 0.7500  4 K 3.28, 4 Rb 3.28

***

Stability comparison, relative energies in meV per atom: a) 0; b) 252

***

a) Below is a relaxed structure of KRbTl2Pt, with properties calculated at the PBE level.

Crystal system = tetragonal
Space-group type = P4/mmm (123)
M_tot = 0.0 μB per formula unit

abc: 5.4173 5.4173 6.3799
angles: 90.00 90.00 90.00
Last column: nearest neighbours and their distance in Å.
Sites, in units of the cell vectors:
K1 0.0000 0.0000 0.0000  4 Rb 3.83, 8 Tl 4.18
Rb1 0.5000 0.5000 0.0000  2 Pt 3.19
Tl1 0.0000 0.5000 0.5000  2 Pt 2.71
Tl2 0.5000 0.0000 0.5000  2 Pt 2.71
Pt1 0.5000 0.5000 0.5000  4 Tl 2.71

***

b) Below is a relaxed structure of KRbTl2Pt, with properties calculated at the PBE level.

Crystal system = tetragonal
Space-group type = P4/mmm (123)
M_tot = 0.0 μB per formula unit

abc: 5.4093 5.4093 6.2284
angles: 90.00 90.00 90.00
Last column: nearest neighbours and their distance in Å.
Sites, in units of the cell vectors:
K1 0.0000 0.0000 0.0000  2 Pt 3.11
Rb1 0.5000 0.5000 0.0000  4 K 3.82, 8 Tl 4.12
Tl1 0.0000 0.5000 0.5000  2 Pt 2.70
Tl2 0.5000 0.0000 0.5000  2 Pt 2.70
Pt1 0.0000 0.0000 0.5000  4 Tl 2.70

***

Stability comparison, relative energies in meV per atom: a) 37; b) 0

***

a) Below is a relaxed structure of KRbZn2Pt, with properties calculated at the PBE level.

Crystal system = tetragonal
Space-group type = P4/mmm (123)
M_tot = 0.0 μB per formula unit

abc: 5.0735 5.0735 5.8866
angles: 90.00 90.00 90.00
Last column: nearest neighbours and their distance in Å.
Sites, in units of the cell vectors:
K1 0.0000 0.0000 0.0000  2 Pt 2.94
Rb1 0.5000 0.5000 0.0000  4 K 3.59, 8 Zn 3.89
Zn1 0.0000 0.5000 0.5000  2 Pt 2.54
Zn2 0.5000 0.0000 0.5000  2 Pt 2.54
Pt1 0.0000 0.0000 0.5000  4 Zn 2.54

***

b) Below is a relaxed structure of KRbZn2Pt, with properties calculated at the PBE level.

Crystal system = tetragonal
Space-group type = P4/mmm (123)
M_tot = 0.0 μB per formula unit

abc: 5.0648 5.0648 6.0626
angles: 90.00 90.00 90.00
Last column: nearest neighbours and their distance in Å.
Sites, in units of the cell vectors:
K1 0.0000 0.0000 0.0000  4 Rb 3.58, 8 Zn 3.95
Rb1 0.5000 0.5000 0.0000  2 Pt 3.03
Zn1 0.0000 0.5000 0.5000  2 Pt 2.53
Zn2 0.5000 0.0000 0.5000  2 Pt 2.53
Pt1 0.5000 0.5000 0.5000  4 Zn 2.53

***

Stability comparison, relative energies in meV per atom: a) 0; b) 49

***

a) Below is a relaxed structure of KRePt2, with properties calculated at the PBE level.

Crystal system = monoclinic
Space-group type = P2/m (10)
M_tot = 0.0 μB per formula unit

abc: 2.7832 3.6928 7.9147
angles: 90.00 90.08 90.00
Last column: nearest neighbours and their distance in Å.
Sites, in units of the cell vectors:
K1 0.0000 0.0000 0.0000  2 K 2.78
Re1 0.0000 0.0000 0.5000  8 Pt 2.70, 2 Re 2.78
Pt1 0.4995 0.5000 0.3246  4 Re 2.70, 3 Pt 2.78
Pt2 0.5005 0.5000 0.6754  4 Re 2.70, 3 Pt 2.78

***

b) Below is a relaxed structure of KRePt2, with properties calculated at the PBE level.

Crystal system = tetragonal
Space-group type = P4/mmm (123)
M_tot = 0.0 μB per formula unit

abc: 2.8495 2.8495 9.1263
angles: 90.00 90.00 90.00
Last column: nearest neighbours and their distance in Å.
Sites, in units of the cell vectors:
K1 0.0000 0.0000 0.0000  4 K 2.85
Re1 0.0000 0.0000 0.5000  8 Pt 2.71, 4 Re 2.85
Pt1 0.5000 0.5000 0.3010  4 Re 2.71, 4 Pt 2.85
Pt2 0.5000 0.5000 0.6990  4 Re 2.71, 4 Pt 2.85

***

Stability comparison, relative energies in meV per atom: a) 45; b) 0

***

a) Below is a relaxed structure of KRePt2, with properties calculated at the PBE level.

Crystal system = cubic
Space-group type = F-43m (216)
M_tot = 0.0 μB per formula unit

abc: 4.6188 4.6188 4.6188
angles: 60.00 60.00 60.00
Last column: nearest neighbours and their distance in Å.
Sites, in units of the cell vectors:
K1 0.0000 0.0000 0.0000  4 Re 2.83, 4 Pt 2.83
Re1 0.7500 0.7500 0.7500  4 K 2.83, 4 Pt 2.83
Pt1 0.2500 0.2500 0.2500  4 K 2.83, 4 Pt 2.83
Pt2 0.5000 0.5000 0.5000  4 Re 2.83, 4 Pt 2.83

***

b) Below is a relaxed structure of KRePt2, with properties calculated at the PBE level.

Crystal system = tetragonal
Space-group type = P4/mmm (123)
M_tot = 0.8 μB per formula unit

abc: 5.1086 5.1086 2.7193
angles: 90.00 90.00 90.00
Last column: nearest neighbours and their distance in Å.
Sites, in units of the cell vectors:
K1 0.0000 0.0000 0.0000  2 K 2.72, 8 Pt 2.89
Re1 0.5000 0.5000 0.0000  2 Re 2.72, 8 Pt 2.89
Pt1 0.0000 0.5000 0.5000  2 Pt 2.72, 4 K 2.89, 4 Re 2.89
Pt2 0.5000 0.0000 0.5000  2 Pt 2.72, 4 K 2.89, 4 Re 2.89

***

c) Below is a relaxed structure of KRePt2, with properties calculated at the PBE level.

Crystal system = trigonal
Space-group type = R3m (160)
M_tot = 0.6 μB per formula unit

abc: 10.5202 10.5202 10.5202
angles: 15.40 15.40 15.40
Last column: nearest neighbours and their distance in Å.
Sites, in units of the cell vectors:
K1 0.0000 0.0000 0.0000  6 K 2.82
Re1 0.7660 0.7660 0.7660  3 Pt 2.70, 6 Re 2.82
Pt1 0.2450 0.2450 0.2450  9 Pt 2.82-2.90
Pt2 0.5016 0.5016 0.5016  3 Re 2.70, 9 Pt 2.82-2.90

***

d) Below is a relaxed structure of KRePt2, with properties calculated at the PBE level.

Crystal system = trigonal
Space-group type = R-3m (166)
M_tot = 0.4 μB per formula unit

abc: 10.2609 10.2609 10.2609
angles: 15.93 15.93 15.93
Last column: nearest neighbours and their distance in Å.
Sites, in units of the cell vectors:
K1 0.0000 0.0000 0.0000  6 K 2.84
Re1 0.5000 0.5000 0.5000  6 Pt 2.75, 6 Re 2.84
Pt1 0.2394 0.2394 0.2394  3 Re 2.75, 6 Pt 2.84
Pt2 0.7606 0.7606 0.7606  3 Re 2.75, 6 Pt 2.84

***

Stability comparison, relative energies in meV per atom: a) 806; b) 176; c) 105; d) 0